(1)
CsNaNpCl5: relaxed, PBE.

It has space group C2/c (No. 15), with a = 9.382 Å, b = 13.070 Å, c = 10.601 Å, α = 90.00°, β = 111.63° and γ = 90.00°. The inequivalent atoms are Cs at (0.000, 0.165, 0.250), Na at (0.000, 0.189, 0.750), Np at (0.000, 0.500, 0.000), Cl at (0.000, 0.440, 0.250), Cl at (0.097, 0.306, 0.588) and Cl at (0.200, 0.056, 0.923).

Its uncorrected formation energy is -1.82 eV/atom.

=====

(2)
Cs2Na5Cl3O2: relaxed, PBE.

It has space group I4/mmm (No. 139), with a = 4.697 Å, b = 4.697 Å, c = 26.842 Å, α = 90.00°, β = 90.00° and γ = 90.00°. The inequivalent atoms are Cs at (0.000, 0.000, 0.188), Na at (0.000, 0.000, 0.000), Na at (0.000, 0.500, 0.083), Cl at (0.000, 0.000, 0.338), Cl at (0.000, 0.000, 0.500) and O at (0.000, 0.000, 0.084).

Its uncorrected formation energy is -1.51 eV/atom.

=====

no.,Fermi-level density of states (states/eV/cell)
1,22.872
2,0.000